No. 1
The following is a DFT calculation (GGA-PBE) of a geometry-optimized CsLa2Se2 structure.

## Properties
- Raw total energy: -46.6 eV for the cell shown
- Energy above the most stable polymorph in this dataset: 0.071 eV per atom
- SG: P4/mbm, No. 127
- M_tot: 0.64 μB per cell

Structure (POSCAR):
```
CsLa2Se2
1.0
8.781 0.000 0.000
0.000 8.781 0.000
0.000 0.000 3.912
Cs La Se
2 4 4
direct
0.000 0.000 0.000 Cs
0.500 0.500 0.000 Cs
0.150 0.350 0.500 La
0.350 0.850 0.500 La
0.650 0.150 0.500 La
0.850 0.650 0.500 La
0.139 0.639 0.000 Se
0.361 0.139 0.000 Se
0.639 0.861 0.000 Se
0.861 0.361 0.000 Se
```

***

No. 2
The following is a DFT calculation (GGA-PBE) of a geometry-optimized Al3Cr5 structure.

## Properties
- Formation energy from the elements: 0.014 eV per atom
- Raw total energy: -118.5 eV for the cell shown
- Energy above the most stable polymorph in this dataset: 0.051 eV per atom
- SG: I4/mcm, No. 140
- M_tot: 0.00 μB per cell

Structure (POSCAR):
```
Al3Cr5
1.0
-4.767 4.767 2.366
4.767 -4.767 2.366
4.767 4.767 -2.366
Al Cr
6 10
direct
0.170 0.670 0.841 Al
0.250 0.250 0.000 Al
0.330 0.170 0.500 Al
0.670 0.830 0.500 Al
0.750 0.750 0.000 Al
0.830 0.330 0.159 Al
0.074 0.240 0.314 Cr
0.240 0.926 0.165 Cr
0.250 0.750 0.500 Cr
0.260 0.426 0.686 Cr
0.426 0.740 0.165 Cr
0.574 0.260 0.835 Cr
0.740 0.574 0.314 Cr
0.750 0.250 0.500 Cr
0.760 0.074 0.835 Cr
0.926 0.760 0.686 Cr
```

***

No. 3
The following is a DFT calculation (GGA-PBE) of a geometry-optimized Ac2Sm3Tm structure.

## Properties
- Formation energy from the elements: 0.048 eV per atom
- Raw total energy: -53.1 eV for the cell shown
- SG: C2/m, No. 12
- M_tot: 0.00 μB per cell

Structure (POSCAR):
```
Ac2Sm3Tm
1.0
7.899 -2.646 0.000
7.899 2.646 0.000
-5.213 0.000 10.510
Ac Sm Tm
4 6 2
direct
0.035 0.035 0.368 Ac
0.291 0.291 0.632 Ac
0.709 0.709 0.368 Ac
0.965 0.965 0.632 Ac
0.124 0.124 0.118 Sm
0.210 0.210 0.880 Sm
0.453 0.453 0.116 Sm
0.547 0.547 0.884 Sm
0.790 0.790 0.120 Sm
0.876 0.876 0.882 Sm
0.373 0.373 0.368 Tm
0.627 0.627 0.632 Tm
```

***

No. 4
The following is a DFT calculation (GGA-PBE) of a geometry-optimized Pu2Ga3Sn structure.

## Properties
- Formation energy from the elements: -0.332 eV per atom
- Raw total energy: -43.7 eV for the cell shown
- Energy above the most stable polymorph in this dataset: 0.000 eV per atom
- SG: Pmm2, No. 25
- M_tot: 11.39 μB per cell

Structure (POSCAR):
```
Pu2Ga3Sn
1.0
3.391 0.000 0.000
0.000 4.651 0.000
0.000 0.000 8.328
Pu Ga Sn
2 3 1
direct
0.000 0.000 0.000 Pu
0.000 0.500 0.477 Pu
0.500 0.000 0.318 Ga
0.500 0.000 0.636 Ga
0.500 0.500 0.163 Ga
0.500 0.500 0.819 Sn
```

***

No. 5
The following is a DFT calculation (GGA-PBE) of a geometry-optimized U2Ni4P3Pt structure.

## Properties
- Formation energy from the elements: -0.651 eV per atom
- Raw total energy: -74.5 eV for the cell shown
- SG: P-4m2, No. 115
- M_tot: 3.61 μB per cell

Structure (POSCAR):
```
U2Ni4P3Pt
1.0
3.815 0.000 0.000
0.000 3.815 0.000
0.000 0.000 10.111
U Ni P Pt
2 4 3 1
direct
0.000 0.500 0.244 U
0.500 0.000 0.756 U
0.000 0.000 0.000 Ni
0.000 0.500 0.661 Ni
0.500 0.000 0.339 Ni
0.500 0.500 0.000 Ni
0.000 0.500 0.876 P
0.500 0.000 0.124 P
0.500 0.500 0.500 P
0.000 0.000 0.500 Pt
```

***

No. 6
The following is a DFT calculation (GGA-PBE) of a geometry-optimized CaTi2Be2 structure.

## Properties
- Formation energy from the elements: 0.332 eV per atom
- Raw total energy: -47.2 eV for the cell shown
- SG: P4/mbm, No. 127
- M_tot: 0.00 μB per cell

Structure (POSCAR):
```
CaTi2Be2
1.0
7.661 0.000 0.000
0.000 7.661 0.000
0.000 0.000 2.824
Ca Ti Be
2 4 4
direct
0.000 0.000 0.000 Ca
0.500 0.500 0.000 Ca
0.138 0.362 0.500 Ti
0.362 0.862 0.500 Ti
0.638 0.138 0.500 Ti
0.862 0.638 0.500 Ti
0.160 0.660 0.000 Be
0.340 0.160 0.000 Be
0.660 0.840 0.000 Be
0.840 0.340 0.000 Be
```

***

No. 7
The following is a DFT calculation (GGA-PBE) of a geometry-optimized Ac2MgSb4 structure.

## Properties
- Raw total energy: -31.8 eV for the cell shown
- SG: P-4m2, No. 115
- M_tot: 0.00 μB per cell

Structure (POSCAR):
```
Ac2MgSb4
1.0
4.448 0.000 0.000
0.000 4.448 0.000
0.000 0.000 11.794
Ac Mg Sb
2 1 4
direct
0.000 0.500 0.234 Ac
0.500 0.000 0.766 Ac
0.000 0.000 0.500 Mg
0.000 0.000 0.000 Sb
0.000 0.500 0.656 Sb
0.500 0.000 0.344 Sb
0.500 0.500 0.000 Sb
```

***

No. 8
The following is a DFT calculation (GGA-PBE) of a geometry-optimized KLaIr2 structure.

## Properties
- Formation energy from the elements: 0.062 eV per atom
- Raw total energy: -23.5 eV for the cell shown
- Energy above the most stable polymorph in this dataset: 0.221 eV per atom
- SG: Imm2, No. 44
- M_tot: 0.00 μB per cell

Structure (POSCAR):
```
KLaIr2
1.0
-2.209 2.246 7.091
2.209 -2.246 7.091
2.209 2.246 -7.091
K La Ir
1 1 2
direct
0.000 0.000 0.000 K
0.257 0.757 0.500 La
0.378 0.378 0.000 Ir
0.818 0.318 0.500 Ir
```

***

No. 9
The following is a DFT calculation (GGA-PBE) of a geometry-optimized Ac4ThTe5 structure.

## Properties
- Raw total energy: -53.2 eV for the cell shown
- Energy above the most stable polymorph in this dataset: 0.022 eV per atom
- SG: I4/mmm, No. 139
- M_tot: 0.00 μB per cell

Structure (POSCAR):
```
Ac4ThTe5
1.0
-2.338 2.338 16.553
2.338 -2.338 16.553
2.338 2.338 -16.553
Ac Th Te
4 1 5
direct
0.100 0.100 0.000 Ac
0.304 0.304 0.000 Ac
0.696 0.696 0.000 Ac
0.900 0.900 0.000 Ac
0.500 0.500 0.000 Th
0.000 0.000 0.000 Te
0.202 0.202 0.000 Te
0.404 0.404 0.000 Te
0.596 0.596 0.000 Te
0.798 0.798 0.000 Te
```

***

No. 10
The following is a DFT calculation (GGA-PBE) of a geometry-optimized PuAg2HO4 structure.

## Properties
- Raw total energy: -54.1 eV for the cell shown
- SG: P2/m, No. 10
- M_tot: 3.00 μB per cell

Structure (POSCAR):
```
PuAg2HO4
1.0
5.026 0.000 0.000
0.000 3.496 0.000
-2.364 0.000 6.711
Pu Ag H O
1 2 1 4
direct
0.000 0.000 0.000 Pu
0.000 0.000 0.500 Ag
0.500 0.500 0.500 Ag
0.500 0.500 0.000 H
0.233 0.000 0.302 O
0.245 0.500 0.958 O
0.755 0.500 0.042 O
0.767 0.000 0.698 O
```

***

No. 11
The following is a DFT calculation (GGA-PBE) of a geometry-optimized BeSiRh2 structure.

## Properties
- Raw total energy: -24.3 eV for the cell shown
- Energy above the most stable polymorph in this dataset: 0.708 eV per atom
- SG: F-43m, No. 216
- M_tot: 0.00 μB per cell

Structure (POSCAR):
```
BeSiRh2
1.0
0.000 2.947 2.947
2.947 0.000 2.947
2.947 2.947 0.000
Be Si Rh
1 1 2
direct
0.000 0.000 0.000 Be
0.250 0.250 0.250 Si
0.500 0.500 0.500 Rh
0.750 0.750 0.750 Rh
```

***

No. 12
The following is a DFT calculation (GGA-PBE) of a geometry-optimized LiLaSb2 structure.

## Properties
- Raw total energy: -17.5 eV for the cell shown
- Energy above the most stable polymorph in this dataset: 0.297 eV per atom
- SG: P4/mmm, No. 123
- M_tot: 0.00 μB per cell

Structure (POSCAR):
```
LiLaSb2
1.0
3.506 0.000 0.000
0.000 3.506 0.000
0.000 0.000 8.679
Li La Sb
1 1 2
direct
0.000 0.000 0.000 Li
0.000 0.000 0.500 La
0.500 0.500 0.230 Sb
0.500 0.500 0.770 Sb
```

***

No. 13
The following is a DFT calculation (GGA-PBE) of a geometry-optimized PrSeClO4 structure.

## Properties
- Raw total energy: -83.6 eV for the cell shown
- SG: C2/m, No. 12
- M_tot: 0.00 μB per cell

Structure (POSCAR):
```
PrSeClO4
1.0
5.142 -3.715 0.000
5.142 3.715 0.000
-1.704 0.000 6.679
Pr Se Cl O
2 2 2 8
direct
0.224 0.224 0.132 Pr
0.776 0.776 0.868 Pr
0.363 0.363 0.734 Se
0.637 0.637 0.266 Se
0.022 0.022 0.767 Cl
0.978 0.978 0.233 Cl
0.140 0.487 0.859 O
0.278 0.278 0.497 O
0.474 0.474 0.241 O
0.487 0.140 0.859 O
0.513 0.860 0.141 O
0.526 0.526 0.759 O
0.722 0.722 0.503 O
0.860 0.513 0.141 O
```

***

No. 14
The following is a DFT calculation (GGA-PBE) of a geometry-optimized NaTlCd3 structure.

## Properties
- Formation energy from the elements: -0.022 eV per atom
- Raw total energy: -6.5 eV for the cell shown
- Energy above the most stable polymorph in this dataset: 0.000 eV per atom
- SG: R3m, No. 160
- M_tot: 0.00 μB per cell

Structure (POSCAR):
```
NaTlCd3
1.0
2.936 1.695 4.512
-2.936 1.695 4.512
0.000 -3.390 4.512
Na Tl Cd
1 1 3
direct
0.000 0.000 0.000 Na
0.753 0.753 0.753 Tl
0.376 0.376 0.877 Cd
0.376 0.877 0.376 Cd
0.877 0.376 0.376 Cd
```

***

No. 15
The following is a DFT calculation (GGA-PBE) of a geometry-optimized YTl2Os structure.

## Properties
- Formation energy from the elements: 0.375 eV per atom
- Raw total energy: -20.9 eV for the cell shown
- Energy above the most stable polymorph in this dataset: 0.163 eV per atom
- SG: I-4m2, No. 119
- M_tot: 0.00 μB per cell

Structure (POSCAR):
```
YTl2Os
1.0
-2.258 2.258 4.373
2.258 -2.258 4.373
2.258 2.258 -4.373
Y Tl Os
1 2 1
direct
0.000 0.000 0.000 Y
0.500 0.500 0.000 Tl
0.750 0.250 0.500 Tl
0.250 0.750 0.500 Os
```

***

No. 16
The following is a DFT calculation (GGA-PBE) of a geometry-optimized PrCrNi4 structure.

## Properties
- Formation energy from the elements: -0.057 eV per atom
- Raw total energy: -37.9 eV for the cell shown
- SG: F-43m, No. 216
- M_tot: 5.35 μB per cell

Structure (POSCAR):
```
PrCrNi4
1.0
0.000 3.529 3.529
3.529 0.000 3.529
3.529 3.529 0.000
Pr Cr Ni
1 1 4
direct
0.000 0.000 0.000 Pr
0.750 0.750 0.750 Cr
0.376 0.376 0.376 Ni
0.376 0.376 0.871 Ni
0.376 0.871 0.376 Ni
0.871 0.376 0.376 Ni
```

***

No. 17
The following is a DFT calculation (GGA-PBE) of a geometry-optimized HgAu structure.

## Properties
- Formation energy from the elements: 0.155 eV per atom
- Raw total energy: -6.5 eV for the cell shown
- SG: Fd-3m, No. 227
- M_tot: 0.00 μB per cell

Structure (POSCAR):
```
HgAu
1.0
0.000 3.439 3.439
3.439 0.000 3.439
3.439 3.439 0.000
Hg Au
2 2
direct
0.125 0.125 0.125 Hg
0.875 0.875 0.875 Hg
0.375 0.375 0.375 Au
0.625 0.625 0.625 Au
```

***

No. 18
The following is a DFT calculation (GGA-PBE) of a geometry-optimized Pr2AgAsO5 structure.

## Properties
- Raw total energy: -117.4 eV for the cell shown
- SG: P4/mbm, No. 127
- M_tot: 0.00 μB per cell

Structure (POSCAR):
```
Pr2AgAsO5
1.0
6.881 0.000 0.000
0.000 6.881 0.000
0.000 0.000 5.946
Pr Ag As O
4 2 2 10
direct
0.176 0.324 0.000 Pr
0.324 0.824 0.000 Pr
0.676 0.176 0.000 Pr
0.824 0.676 0.000 Pr
0.000 0.000 0.500 Ag
0.500 0.500 0.500 Ag
0.000 0.500 0.500 As
0.500 0.000 0.500 As
0.000 0.000 0.000 O
0.136 0.636 0.250 O
0.136 0.636 0.750 O
0.364 0.136 0.250 O
0.364 0.136 0.750 O
0.500 0.500 0.000 O
0.636 0.864 0.250 O
0.636 0.864 0.750 O
0.864 0.364 0.250 O
0.864 0.364 0.750 O
```

***

No. 19
The following is a DFT calculation (GGA-PBE) of a geometry-optimized KNaMgBr2 structure.

## Properties
- Raw total energy: -9.7 eV for the cell shown
- SG: P4/mmm, No. 123
- M_tot: 0.00 μB per cell

Structure (POSCAR):
```
KNaMgBr2
1.0
6.010 0.000 0.000
0.000 6.010 0.000
0.000 0.000 6.279
K Na Mg Br
1 1 1 2
direct
0.000 0.000 0.000 K
0.000 0.000 0.500 Na
0.500 0.500 0.500 Mg
0.000 0.500 0.000 Br
0.500 0.000 0.000 Br
```

***

No. 20
The following is a DFT calculation (GGA-PBE) of a geometry-optimized Mg2Zn2S structure.

## Properties
- Raw total energy: -20.6 eV for the cell shown
- Energy above the most stable polymorph in this dataset: 0.000 eV per atom
- SG: P4/mbm, No. 127
- M_tot: 0.00 μB per cell

Structure (POSCAR):
```
Mg2Zn2S
1.0
6.683 0.000 0.000
0.000 6.683 0.000
0.000 0.000 4.203
Mg Zn S
4 4 2
direct
0.164 0.336 0.000 Mg
0.336 0.836 0.000 Mg
0.664 0.164 0.000 Mg
0.836 0.664 0.000 Mg
0.134 0.634 0.500 Zn
0.366 0.134 0.500 Zn
0.634 0.866 0.500 Zn
0.866 0.366 0.500 Zn
0.000 0.000 0.500 S
0.500 0.500 0.500 S
```

***

No. 21
The following is a DFT calculation (GGA-PBE) of a geometry-optimized CuH6N2Cl2 structure.

## Properties
- Raw total energy: -100.1 eV for the cell shown
- SG: Cmcm, No. 63
- M_tot: 2.01 μB per cell

Structure (POSCAR):
```
CuH6N2Cl2
1.0
3.875 -5.452 0.000
3.875 5.452 0.000
0.000 0.000 5.923
Cu H N Cl
2 12 4 4
direct
0.111 0.889 0.750 Cu
0.889 0.111 0.250 Cu
0.155 0.459 0.110 H
0.155 0.459 0.390 H
0.279 0.319 0.250 H
0.319 0.279 0.750 H
0.459 0.155 0.610 H
0.459 0.155 0.890 H
0.541 0.845 0.110 H
0.541 0.845 0.390 H
0.681 0.721 0.250 H
0.721 0.681 0.750 H
0.845 0.541 0.610 H
0.845 0.541 0.890 H
0.147 0.366 0.250 N
0.366 0.147 0.750 N
0.634 0.853 0.250 N
0.853 0.634 0.750 N
0.106 0.894 0.250 Cl
0.331 0.669 0.750 Cl
0.669 0.331 0.250 Cl
0.894 0.106 0.750 Cl
```

***

No. 22
The following is a DFT calculation (GGA-PBE) of a geometry-optimized RbV2I structure.

## Properties
- Raw total energy: -15.3 eV for the cell shown
- Energy above the most stable polymorph in this dataset: 0.346 eV per atom
- SG: Fm-3m, No. 225
- M_tot: 9.25 μB per cell

Structure (POSCAR):
```
RbV2I
1.0
0.000 3.880 3.880
3.880 0.000 3.880
3.880 3.880 0.000
Rb V I
1 2 1
direct
0.000 0.000 0.000 Rb
0.250 0.250 0.250 V
0.750 0.750 0.750 V
0.500 0.500 0.500 I
```

***

No. 23
The following is a DFT calculation (GGA-PBE) of a geometry-optimized URhW structure.

## Properties
- Formation energy from the elements: 0.289 eV per atom
- Raw total energy: -61.5 eV for the cell shown
- SG: Pmmn, No. 59
- M_tot: 2.03 μB per cell

Structure (POSCAR):
```
URhW
1.0
2.754 0.000 0.000
0.000 4.589 0.000
0.000 0.000 8.433
U Rh W
2 2 2
direct
0.250 0.250 0.064 U
0.750 0.750 0.936 U
0.250 0.250 0.434 Rh
0.750 0.750 0.566 Rh
0.250 0.750 0.285 W
0.750 0.250 0.715 W
```

***

No. 24
The following is a DFT calculation (GGA-PBE) of a geometry-optimized SmYMgSn structure.

## Properties
- Formation energy from the elements: -0.429 eV per atom
- Raw total energy: -18.5 eV for the cell shown
- SG: F-43m, No. 216
- M_tot: 0.00 μB per cell

Structure (POSCAR):
```
SmYMgSn
1.0
0.000 3.781 3.781
3.781 0.000 3.781
3.781 3.781 0.000
Sm Y Mg Sn
1 1 1 1
direct
0.000 0.000 0.000 Sm
0.500 0.500 0.500 Y
0.750 0.750 0.750 Mg
0.250 0.250 0.250 Sn
```